{"formula": "K4Ag2Hg3", "functional": "PBE-GGA", "state": "relaxed", "formation_enthalpy_0k_kj_per_mol_atoms": -11.40, "spacegroup": "No. 12", "cell": [[9.084, -2.319, 0.000], [9.084, 2.319, 0.000], [-2.546, 0.000, 7.664]], "species": ["K", "K", "K", "K", "Ag", "Ag", "Hg", "Hg", "Hg"], "frac_coords": [[0.073, 0.073, 0.373], [0.267, 0.267, 0.804], [0.733, 0.733, 0.196], [0.927, 0.927, 0.627], [0.097, 0.097, 0.953], [0.903, 0.903, 0.047], [0.396, 0.396, 0.270], [0.500, 0.500, 0.000], [0.604, 0.604, 0.730]]}

{"formula": "SbAsBr2", "functional": "PBE-GGA", "state": "relaxed", "formation_energy_uncorrected_kj_per_mol_fu": -100, "spacegroup": "No. 99", "de_polymorph_ev_per_atom": 0.0100, "cell": [[4.167, 0.000, 0.000], [0.000, 4.167, 0.000], [0.000, 0.000, 8.114]], "species": ["Sb", "As", "Br", "Br"], "frac_coords": [[0.000, 0.000, 0.000], [0.500, 0.500, 0.994], [0.000, 0.000, 0.313], [0.500, 0.500, 0.699]]}